1.
! KSb2Pb (GGA-PBE, optimized geometry); values from VASP
&SYSTEM
  ibrav = 0, nat = 4, ntyp = 3
/
ATOMIC_SPECIES
Sb 121.76 Sb.upf
K 39.10 K.upf
Pb 207.20 Pb.upf
CELL_PARAMETERS angstrom
4.213 0.000 0.000
0.000 4.213 0.000
0.000 0.000 7.542
ATOMIC_POSITIONS crystal
Sb 0.000 0.000 0.018
Sb 0.500 0.500 0.191
K 0.000 0.000 0.492
Pb 0.500 0.500 0.800
! E: -13.42 eV per cell
! Formation energy (no corrections): -0.09 eV/atom


2.
! KSb3Pb3 (GGA-PBE, optimized geometry); values from VASP
&SYSTEM
  ibrav = 0, nat = 14, ntyp = 3
/
ATOMIC_SPECIES
Sb 121.76 Sb.upf
K 39.10 K.upf
Pb 207.20 Pb.upf
CELL_PARAMETERS angstrom
-4.077 4.867 6.567
-5.562 -4.125 5.956
2.822 -1.071 8.898
ATOMIC_POSITIONS crystal
Sb 0.417 0.085 0.747
Sb 0.583 0.915 0.253
Sb 0.249 0.583 0.253
Sb 0.751 0.417 0.747
Sb 0.085 0.751 0.747
Sb 0.915 0.249 0.253
K 0.333 0.333 0.001
K 0.667 0.667 0.999
Pb 0.119 0.449 0.647
Pb 0.786 0.119 0.647
Pb 0.214 0.881 0.353
Pb 0.881 0.551 0.353
Pb 0.449 0.786 0.647
Pb 0.551 0.214 0.353
! E: -50.34 eV per cell
! Relative energy among the computed polymorphs: 0 meV/atom
! Formation energy (no corrections): -0.08 eV/atom


3.
! KSbPb2 (GGA-PBE, optimized geometry); values from VASP
&SYSTEM
  ibrav = 0, nat = 4, ntyp = 3
/
ATOMIC_SPECIES
Pb 207.20 Pb.upf
Sb 121.76 Sb.upf
K 39.10 K.upf
CELL_PARAMETERS angstrom
7.094 -0.013 0.015
-3.527 6.156 0.015
0.858 1.477 2.971
ATOMIC_POSITIONS crystal
Pb 0.000 0.000 0.000
Pb 0.500 0.500 0.000
Sb 0.500 0.000 0.500
K 0.000 0.500 0.500
! E: -12.84 eV per cell
! Formation energy (no corrections): -0.05 eV/atom


4.
! KSb3Pb3 (GGA-PBE, optimized geometry); values from VASP
&SYSTEM
  ibrav = 0, nat = 14, ntyp = 3
/
ATOMIC_SPECIES
Sb 121.76 Sb.upf
Pb 207.20 Pb.upf
K 39.10 K.upf
CELL_PARAMETERS angstrom
6.143 0.000 0.000
0.000 8.729 -5.040
0.000 0.000 10.080
ATOMIC_POSITIONS crystal
Sb 0.750 0.609 0.644
Sb 0.250 0.391 0.356
Sb 0.750 0.356 0.965
Sb 0.750 0.035 0.391
Sb 0.250 0.644 0.035
Sb 0.250 0.965 0.609
Pb 0.250 0.698 0.664
Pb 0.250 0.966 0.302
Pb 0.750 0.302 0.336
Pb 0.750 0.034 0.698
Pb 0.750 0.664 0.966
Pb 0.250 0.336 0.034
K 0.250 0.333 0.667
K 0.750 0.667 0.333
! E: -49.53 eV per cell
! Relative energy among the computed polymorphs: 58 meV/atom
! Formation energy (no corrections): -0.02 eV/atom


5.
! KSb2Pb (GGA-PBE, optimized geometry); values from VASP
&SYSTEM
  ibrav = 0, nat = 16, ntyp = 3
/
ATOMIC_SPECIES
K 39.10 K.upf
Pb 207.20 Pb.upf
Sb 121.76 Sb.upf
CELL_PARAMETERS angstrom
4.412 0.000 0.000
0.000 6.072 0.000
0.000 0.000 21.738
ATOMIC_POSITIONS crystal
K 0.250 0.876 0.103
K 0.750 0.124 0.897
K 0.750 0.376 0.397
K 0.250 0.624 0.603
Pb 0.750 0.834 0.236
Pb 0.250 0.166 0.764
Pb 0.750 0.666 0.736
Pb 0.250 0.334 0.264
Sb 0.750 0.625 0.976
Sb 0.750 0.161 0.668
Sb 0.250 0.839 0.332
Sb 0.250 0.661 0.832
Sb 0.750 0.339 0.168
Sb 0.250 0.375 0.024
Sb 0.750 0.875 0.476
Sb 0.250 0.125 0.524
! E: -54.81 eV per cell
! Formation energy (no corrections): -0.16 eV/atom


6.
! KSb2Pb (GGA-PBE, optimized geometry); values from VASP
&SYSTEM
  ibrav = 0, nat = 8, ntyp = 3
/
ATOMIC_SPECIES
K 39.10 K.upf
Sb 121.76 Sb.upf
Pb 207.20 Pb.upf
CELL_PARAMETERS angstrom
-1.769 -5.671 -6.927
8.952 -1.080 -1.402
3.610 -5.962 -2.052
ATOMIC_POSITIONS crystal
K 0.250 0.750 0.500
K 0.500 0.500 0.000
Sb 0.089 0.625 0.250
Sb 0.875 0.911 0.750
Sb 0.375 0.339 0.750
Sb 0.661 0.125 0.250
Pb 0.750 0.250 0.500
Pb 0.000 0.000 0.000
! E: -26.25 eV per cell
! Formation energy (no corrections): -0.02 eV/atom


7.
! KSb4Pb (GGA-PBE, optimized geometry); values from VASP
&SYSTEM
  ibrav = 0, nat = 6, ntyp = 3
/
ATOMIC_SPECIES
Pb 207.20 Pb.upf
Sb 121.76 Sb.upf
K 39.10 K.upf
CELL_PARAMETERS angstrom
0.000 4.542 4.542
4.542 0.000 4.542
4.542 4.542 0.000
ATOMIC_POSITIONS crystal
Pb 0.000 0.000 0.000
Sb 0.374 0.374 0.879
Sb 0.879 0.374 0.374
Sb 0.374 0.374 0.374
Sb 0.374 0.879 0.374
K 0.750 0.750 0.750
! E: -21.41 eV per cell
! Formation energy (no corrections): -0.02 eV/atom


8.
! K2SbPb (GGA-PBE, optimized geometry); values from VASP
&SYSTEM
  ibrav = 0, nat = 4, ntyp = 3
/
ATOMIC_SPECIES
K 39.10 K.upf
Pb 207.20 Pb.upf
Sb 121.76 Sb.upf
CELL_PARAMETERS angstrom
5.593 0.000 0.000
0.000 3.387 0.010
0.000 3.423 7.113
ATOMIC_POSITIONS crystal
K 0.000 0.490 0.512
K 0.000 0.010 0.988
Pb 0.500 0.250 0.250
Sb 0.500 0.750 0.750
! E: -10.76 eV per cell
! Relative energy among the computed polymorphs: 118 meV/atom
! Formation energy (no corrections): -0.18 eV/atom


9.
! KSb2Pb (GGA-PBE, optimized geometry); values from VASP
&SYSTEM
  ibrav = 0, nat = 4, ntyp = 3
/
ATOMIC_SPECIES
Sb 121.76 Sb.upf
K 39.10 K.upf
Pb 207.20 Pb.upf
CELL_PARAMETERS angstrom
-6.433 -0.734 -1.708
-1.341 -2.427 -6.095
3.082 -1.188 5.825
ATOMIC_POSITIONS crystal
Sb 0.785 0.285 0.500
Sb 0.976 0.976 0.000
K 0.511 0.511 0.000
Pb 0.229 0.729 0.500
! E: -13.39 eV per cell
! Formation energy (no corrections): -0.08 eV/atom


10.
! KSb2Pb2 (GGA-PBE, optimized geometry); values from VASP
&SYSTEM
  ibrav = 0, nat = 5, ntyp = 3
/
ATOMIC_SPECIES
Pb 207.20 Pb.upf
Sb 121.76 Sb.upf
K 39.10 K.upf
CELL_PARAMETERS angstrom
-3.794 4.006 -0.299
-4.925 -1.024 -2.287
-5.223 -0.769 4.918
ATOMIC_POSITIONS crystal
Pb 0.293 0.293 0.122
Pb 0.707 0.707 0.878
Sb 0.075 0.075 0.775
Sb 0.925 0.925 0.225
K 0.500 0.500 0.500
! E: -17.37 eV per cell
! Relative energy among the computed polymorphs: 38 meV/atom
! Formation energy (no corrections): -0.12 eV/atom


11.
! K3Sb4Pb2 (GGA-PBE, optimized geometry); values from VASP
&SYSTEM
  ibrav = 0, nat = 9, ntyp = 3
/
ATOMIC_SPECIES
Pb 207.20 Pb.upf
Sb 121.76 Sb.upf
K 39.10 K.upf
CELL_PARAMETERS angstrom
4.703 0.001 -1.306
-0.835 7.646 -2.982
0.202 0.161 9.795
ATOMIC_POSITIONS crystal
Pb 0.670 0.957 0.338
Pb 0.330 0.043 0.662
Sb 0.497 0.332 0.994
Sb 0.791 0.798 0.586
Sb 0.503 0.668 0.006
Sb 0.209 0.202 0.414
K 0.141 0.565 0.284
K 0.000 0.000 0.000
K 0.859 0.435 0.716
! E: -29.39 eV per cell
! Formation energy (no corrections): -0.24 eV/atom


12.
! KSb2Pb (GGA-PBE, optimized geometry); values from VASP
&SYSTEM
  ibrav = 0, nat = 4, ntyp = 3
/
ATOMIC_SPECIES
Sb 121.76 Sb.upf
K 39.10 K.upf
Pb 207.20 Pb.upf
CELL_PARAMETERS angstrom
-4.198 1.425 0.545
-1.485 -3.772 -1.576
-1.556 -6.534 5.104
ATOMIC_POSITIONS crystal
Sb 0.000 0.057 0.943
Sb 0.000 0.443 0.557
K 0.500 0.250 0.250
Pb 0.500 0.750 0.750
! E: -13.77 eV per cell
! Formation energy (no corrections): -0.18 eV/atom


13.
! KSbPb2 (GGA-PBE, optimized geometry); values from VASP
&SYSTEM
  ibrav = 0, nat = 4, ntyp = 3
/
ATOMIC_SPECIES
Pb 207.20 Pb.upf
Sb 121.76 Sb.upf
K 39.10 K.upf
CELL_PARAMETERS angstrom
-1.088 2.637 -5.511
-6.084 0.836 -0.888
3.808 1.450 4.680
ATOMIC_POSITIONS crystal
Pb 0.250 0.750 0.500
Pb 0.000 0.000 0.000
Sb 0.500 0.500 0.000
K 0.750 0.250 0.500
! E: -12.99 eV per cell
! Formation energy (no corrections): -0.09 eV/atom


14.
! KSbPb (GGA-PBE, optimized geometry); values from VASP
&SYSTEM
  ibrav = 0, nat = 12, ntyp = 3
/
ATOMIC_SPECIES
Sb 121.76 Sb.upf
Pb 207.20 Pb.upf
K 39.10 K.upf
CELL_PARAMETERS angstrom
8.213 0.000 0.000
0.000 11.678 0.000
0.000 -5.839 5.572
ATOMIC_POSITIONS crystal
Sb 0.217 0.377 0.000
Sb 0.783 0.623 0.000
Sb 0.283 0.877 0.000
Sb 0.717 0.123 0.000
Pb 0.647 0.860 0.000
Pb 0.353 0.140 0.000
Pb 0.147 0.640 0.000
Pb 0.853 0.360 0.000
K 0.500 0.291 0.582
K 0.500 0.709 0.418
K 0.000 0.209 0.418
K 0.000 0.791 0.582
! E: -36.69 eV per cell
! Formation energy (no corrections): -0.08 eV/atom


15.
! K2Sb2Pb3 (GGA-PBE, optimized geometry); values from VASP
&SYSTEM
  ibrav = 0, nat = 7, ntyp = 3
/
ATOMIC_SPECIES
Pb 207.20 Pb.upf
Sb 121.76 Sb.upf
K 39.10 K.upf
CELL_PARAMETERS angstrom
4.566 0.000 0.000
-2.283 6.975 -0.035
0.000 -3.257 8.051
ATOMIC_POSITIONS crystal
Pb 0.500 0.000 0.000
Pb 0.608 0.216 0.415
Pb 0.392 0.784 0.585
Sb 0.171 0.342 0.238
Sb 0.829 0.658 0.762
K 0.137 0.273 0.793
K 0.863 0.727 0.207
! E: -23.01 eV per cell
! Formation energy (no corrections): -0.21 eV/atom


16.
! KSbPb3 (GGA-PBE, optimized geometry); values from VASP
&SYSTEM
  ibrav = 0, nat = 5, ntyp = 3
/
ATOMIC_SPECIES
K 39.10 K.upf
Pb 207.20 Pb.upf
Sb 121.76 Sb.upf
CELL_PARAMETERS angstrom
6.029 0.000 0.000
0.000 6.029 0.000
0.000 0.000 6.029
ATOMIC_POSITIONS crystal
K 0.500 0.500 0.500
Pb 0.000 0.500 0.000
Pb 0.500 0.000 0.000
Pb 0.000 0.000 0.500
Sb 0.000 0.000 0.000
! E: -15.01 eV per cell
! Relative energy among the computed polymorphs: 362 meV/atom
! Formation energy (no corrections): 0.27 eV/atom


17.
! KSbPb2 (GGA-PBE, optimized geometry); values from VASP
&SYSTEM
  ibrav = 0, nat = 4, ntyp = 3
/
ATOMIC_SPECIES
Pb 207.20 Pb.upf
K 39.10 K.upf
Sb 121.76 Sb.upf
CELL_PARAMETERS angstrom
-4.490 -4.159 -3.820
-0.013 -7.190 0.597
-0.890 6.572 2.840
ATOMIC_POSITIONS crystal
Pb 0.964 0.964 0.000
Pb 0.536 0.536 0.000
K 0.250 0.750 0.500
Sb 0.750 0.250 0.500
! E: -13.05 eV per cell
! Formation energy (no corrections): -0.10 eV/atom


18.
! K4Sb6Pb5 (GGA-PBE, optimized geometry); values from VASP
&SYSTEM
  ibrav = 0, nat = 30, ntyp = 3
/
ATOMIC_SPECIES
Pb 207.20 Pb.upf
K 39.10 K.upf
Sb 121.76 Sb.upf
CELL_PARAMETERS angstrom
5.427 0.000 0.000
-2.714 11.554 0.000
0.000 0.000 18.140
ATOMIC_POSITIONS crystal
Pb 0.335 0.671 0.271
Pb 0.451 0.902 0.678
Pb 0.689 0.377 0.121
Pb 0.665 0.329 0.771
Pb 0.311 0.623 0.621
Pb 0.647 0.295 0.475
Pb 0.154 0.307 0.627
Pb 0.353 0.705 0.975
Pb 0.549 0.098 0.178
Pb 0.846 0.693 0.127
K 0.994 0.989 0.994
K 0.006 0.011 0.494
K 0.963 0.925 0.271
K 0.846 0.693 0.810
K 0.037 0.075 0.771
K 0.827 0.654 0.449
K 0.154 0.307 0.310
K 0.173 0.346 0.949
Sb 0.543 0.087 0.352
Sb 0.457 0.913 0.852
Sb 0.111 0.221 0.128
Sb 0.764 0.527 0.264
Sb 0.236 0.473 0.764
Sb 0.889 0.779 0.628
Sb 0.576 0.151 0.897
Sb 0.417 0.834 0.131
Sb 0.223 0.446 0.485
Sb 0.777 0.554 0.985
Sb 0.583 0.166 0.631
Sb 0.424 0.849 0.397
! E: -101.51 eV per cell
! Formation energy (no corrections): -0.21 eV/atom


19.
! KSb2Pb2 (GGA-PBE, optimized geometry); values from VASP
&SYSTEM
  ibrav = 0, nat = 5, ntyp = 3
/
ATOMIC_SPECIES
Pb 207.20 Pb.upf
Sb 121.76 Sb.upf
K 39.10 K.upf
CELL_PARAMETERS angstrom
-5.072 -2.523 -0.336
1.053 -2.761 4.845
-4.409 1.775 5.294
ATOMIC_POSITIONS crystal
Pb 0.362 0.362 0.276
Pb 0.638 0.638 0.724
Sb 0.750 0.250 0.500
Sb 0.250 0.750 0.500
K 0.000 0.000 0.000
! E: -17.25 eV per cell
! Relative energy among the computed polymorphs: 61 meV/atom
! Formation energy (no corrections): -0.10 eV/atom


20.
! KSbPb (GGA-PBE, optimized geometry); values from VASP
&SYSTEM
  ibrav = 0, nat = 3, ntyp = 3
/
ATOMIC_SPECIES
Pb 207.20 Pb.upf
Sb 121.76 Sb.upf
K 39.10 K.upf
CELL_PARAMETERS angstrom
-1.105 -1.251 -4.282
-2.049 -2.018 3.584
-4.623 4.486 -0.118
ATOMIC_POSITIONS crystal
Pb 0.667 0.333 0.396
Sb 0.333 0.667 0.624
K 0.000 0.000 0.980
! E: -9.81 eV per cell
! Formation energy (no corrections): -0.29 eV/atom


21.
! KSb2Pb4 (GGA-PBE, optimized geometry); values from VASP
&SYSTEM
  ibrav = 0, nat = 7, ntyp = 3
/
ATOMIC_SPECIES
Pb 207.20 Pb.upf
Sb 121.76 Sb.upf
K 39.10 K.upf
CELL_PARAMETERS angstrom
-4.981 2.263 -2.226
-0.583 1.161 -5.351
-4.738 -8.059 2.409
ATOMIC_POSITIONS crystal
Pb 0.443 0.114 0.709
Pb 0.557 0.886 0.291
Pb 0.842 0.316 0.445
Pb 0.158 0.684 0.555
Sb 0.241 0.518 0.210
Sb 0.759 0.482 0.790
K 0.000 0.000 0.000
! E: -24.67 eV per cell
! Relative energy among the computed polymorphs: 46 meV/atom
! Formation energy (no corrections): -0.07 eV/atom


22.
! K5Sb4Pb4 (GGA-PBE, optimized geometry); values from VASP
&SYSTEM
  ibrav = 0, nat = 13, ntyp = 3
/
ATOMIC_SPECIES
K 39.10 K.upf
Sb 121.76 Sb.upf
Pb 207.20 Pb.upf
CELL_PARAMETERS angstrom
5.018 0.000 1.276
2.509 9.818 0.638
0.090 0.000 10.154
ATOMIC_POSITIONS crystal
K 0.293 0.070 0.343
K 0.637 0.657 0.070
K 0.707 0.930 0.657
K 0.363 0.343 0.930
K 0.000 0.000 0.000
Sb 0.742 0.309 0.206
Sb 0.051 0.206 0.691
Sb 0.258 0.691 0.794
Sb 0.949 0.794 0.309
Pb 0.102 0.469 0.326
Pb 0.898 0.531 0.674
Pb 0.572 0.326 0.531
Pb 0.428 0.674 0.469
! E: -40.53 eV per cell
! Formation energy (no corrections): -0.29 eV/atom


23.
! KSb2Pb (GGA-PBE, optimized geometry); values from VASP
&SYSTEM
  ibrav = 0, nat = 4, ntyp = 3
/
ATOMIC_SPECIES
K 39.10 K.upf
Sb 121.76 Sb.upf
Pb 207.20 Pb.upf
CELL_PARAMETERS angstrom
-0.432 -3.253 -0.637
4.851 -1.453 4.126
-5.882 0.226 2.832
ATOMIC_POSITIONS crystal
K 0.000 0.964 0.036
Sb 0.500 0.488 0.101
Sb 0.500 0.899 0.512
Pb 0.500 0.428 0.572
! E: -13.70 eV per cell
! Formation energy (no corrections): -0.16 eV/atom


24.
! KSbPb2 (GGA-PBE, optimized geometry); values from VASP
&SYSTEM
  ibrav = 0, nat = 4, ntyp = 3
/
ATOMIC_SPECIES
Pb 207.20 Pb.upf
Sb 121.76 Sb.upf
K 39.10 K.upf
CELL_PARAMETERS angstrom
4.247 0.000 0.000
0.000 4.384 0.000
0.000 0.000 7.548
ATOMIC_POSITIONS crystal
Pb 0.000 0.000 0.050
Pb 0.500 0.500 0.266
Sb 0.000 0.000 0.443
K 0.500 0.500 0.741
! E: -13.20 eV per cell
! Formation energy (no corrections): -0.14 eV/atom


25.
! KSbPb2 (GGA-PBE, optimized geometry); values from VASP
&SYSTEM
  ibrav = 0, nat = 4, ntyp = 3
/
ATOMIC_SPECIES
K 39.10 K.upf
Pb 207.20 Pb.upf
Sb 121.76 Sb.upf
CELL_PARAMETERS angstrom
5.684 0.000 0.000
2.842 4.923 0.000
2.842 1.641 4.641
ATOMIC_POSITIONS crystal
K 0.500 0.500 0.500
Pb 0.250 0.250 0.250
Pb 0.000 0.000 0.000
Sb 0.750 0.750 0.750
! E: -12.67 eV per cell
! Formation energy (no corrections): -0.01 eV/atom